GdLuCd2 after structural relaxation. Source: Alexandria via LeMat-Bulk, functional PBEsol.

## Properties
**E_form**: -32.51 kJ/mol of atoms

a b c (Å): 5.1719 5.1719 5.1719
angles (deg): 60.00 60.00 60.00
Closest atoms and distances in Å follow each position.
Element x y z (fractional)
Cd 0.2500 0.2500 0.2500  4 Gd 3.17, 4 Lu 3.17
Lu 0.0000 0.0000 0.0000  8 Cd 3.17
Cd 0.7500 0.7500 0.7500  4 Gd 3.17, 4 Lu 3.17
Gd 0.5000 0.5000 0.5000  8 Cd 3.17